Computed, not measured: crystalline BaMnP2 at its relaxed geometry at the GGA-PBE level of DFT.

- Distance to the lowest polymorph of the same formula: 0.44 eV per formula unit
- Formation energy: -0.486 eV per atom

a b c (Å): 3.863 4.993 5.133
angles (deg): 90.00 90.00 90.00
Element x y z (fractional)
Ba1 0.000 0.000 0.000
Mn1 0.000 0.500 0.500
P1 0.500 0.500 0.226
P2 0.500 0.500 0.774

---

Computed, not measured: crystalline BaMnP2 at its relaxed geometry at the GGA-PBE level of DFT.

- Distance to the lowest polymorph of the same formula: 3.15 eV per formula unit
- Formation energy: 0.191 eV per atom

a b c (Å): 5.410 5.410 3.155
angles (deg): 90.00 90.00 90.00
Element x y z (fractional)
Ba1 0.000 0.000 0.000
Mn1 0.500 0.500 0.000
P1 0.000 0.500 0.500
P2 0.500 0.000 0.500

---

Computed, not measured: crystalline BaMn2P at its relaxed geometry at the GGA-PBE level of DFT.

- Formation energy: 0.578 eV per atom

a b c (Å): 4.475 4.475 4.754
angles (deg): 90.00 90.00 90.00
Element x y z (fractional)
Ba1 0.000 0.000 0.000
Mn1 0.000 0.500 0.500
Mn2 0.500 0.000 0.500
P1 0.500 0.500 0.000

---

Computed, not measured: crystalline Ba2MnP at its relaxed geometry at the GGA-PBE level of DFT.

- Formation energy: 0.341 eV per atom

a b c (Å): 5.464 5.464 5.464
angles (deg): 60.00 60.00 60.00
Element x y z (fractional)
Ba1 0.000 0.000 0.000
Ba2 0.250 0.250 0.250
Mn1 0.500 0.500 0.500
P1 0.750 0.750 0.750

---

Computed, not measured: crystalline BaMnP2 at its relaxed geometry at the GGA-PBE level of DFT.

- Distance to the lowest polymorph of the same formula: 3.47 eV per formula unit
- Formation energy: 0.271 eV per atom

a b c (Å): 5.943 5.943 5.943
angles (deg): 137.76 137.76 61.27
Element x y z (fractional)
Ba1 0.000 0.000 0.000
Mn1 0.250 0.750 0.500
P1 0.500 0.500 0.000
P2 0.750 0.250 0.500

---

Computed, not measured: crystalline Ba2MnP at its relaxed geometry at the GGA-PBE level of DFT.

- Formation energy: -0.038 eV per atom

a b c (Å): 9.017 9.017 9.017
angles (deg): 29.78 29.78 29.78
Element x y z (fractional)
Ba1 0.233 0.233 0.233
Ba2 0.767 0.767 0.767
Mn1 0.000 0.000 0.000
P1 0.500 0.500 0.500

---

Computed, not measured: crystalline Ba2MnP at its relaxed geometry at the GGA-PBE level of DFT.

- Formation energy: -0.282 eV per atom

a b c (Å): 8.353 8.353 8.353
angles (deg): 150.73 148.28 43.70
Element x y z (fractional)
Ba1 0.000 0.000 0.000
Ba2 0.752 0.252 0.500
Mn1 0.413 0.413 0.000
P1 0.340 0.840 0.500

---

Computed, not measured: crystalline Ba2MnP at its relaxed geometry at the GGA-PBE level of DFT.

- Formation energy: -0.324 eV per atom

a b c (Å): 4.304 7.078 7.078
angles (deg): 38.63 90.00 90.00
Element x y z (fractional)
Ba1 0.000 0.000 0.000
Ba2 0.500 0.274 0.274
Mn1 0.000 0.681 0.681
P1 0.500 0.587 0.587